(1)
# ErInAg2

A crystal of ErInAg2 relaxed with PBEsol (meta-GGA SCAN, the Alexandria database).

Unit cell a=4.8228 b=4.8228 c=4.8228 alpha=60.00 beta=60.00 gamma=60.00
Closest atoms and distances in Å follow each position.
Sites, in units of the cell vectors:
Er (0.0000, 0.0000, 0.0000)  8 Ag 2.95
In (0.5000, 0.5000, 0.5000)  8 Ag 2.95
Ag (0.2500, 0.2500, 0.2500)  4 In 2.95, 4 Er 2.95
Ag (0.7500, 0.7500, 0.7500)  4 In 2.95, 4 Er 2.95

Size of the total moment: 0.00 μB/cell
Space group: Fm-3m (225)
Electronic total energy: -37.03 eV per atom

(2)
# ErMgAg2

A crystal of ErMgAg2 relaxed with PBEsol (meta-GGA SCAN, the Alexandria database).

Unit cell a=4.8358 b=4.8358 c=4.8358 alpha=60.00 beta=60.00 gamma=60.00
Closest atoms and distances in Å follow each position.
Sites, in units of the cell vectors:
Er (0.0000, 0.0000, 0.0000)  8 Ag 2.96
Mg (0.5000, 0.5000, 0.5000)  8 Ag 2.96
Ag (0.2500, 0.2500, 0.2500)  4 Mg 2.96, 4 Er 2.96
Ag (0.7500, 0.7500, 0.7500)  4 Er 2.96, 4 Mg 2.96

Size of the total moment: 0.00 μB/cell
Space group: Fm-3m (225)
Electronic total energy: -29.87 eV per atom

(3)
# ErTa5Ag2O15

A crystal of ErTa5Ag2O15 relaxed with PBEsol (meta-GGA SCAN, the Alexandria database).

Unit cell a=12.4406 b=12.4406 c=3.8819 alpha=90.00 beta=90.00 gamma=90.00
Closest atoms and distances in Å follow each position.
Sites, in units of the cell vectors:
Er (0.0000, 0.0000, 0.0000)  12 O 2.50-2.62
Er (0.5000, 0.5000, 0.0000)  12 O 2.50-2.62
Ta (0.0000, 0.5000, 0.5000)  6 O 1.94-1.99
Ta (0.0812, 0.2090, 0.5000)  6 O 1.93-1.99
Ta (0.2090, 0.9188, 0.5000)  6 O 1.93-1.99
Ta (0.2910, 0.4188, 0.5000)  6 O 1.93-1.99
Ta (0.4188, 0.7090, 0.5000)  6 O 1.93-1.99
Ta (0.5000, 0.0000, 0.5000)  6 O 1.94-1.99
Ta (0.5812, 0.2910, 0.5000)  6 O 1.93-1.99
Ta (0.7090, 0.5812, 0.5000)  6 O 1.93-1.99
Ta (0.7910, 0.0812, 0.5000)  6 O 1.93-1.99
Ta (0.9188, 0.7910, 0.5000)  6 O 1.93-1.99
Ag (0.1568, 0.6568, 0.0000)  7 O 2.74-2.83
Ag (0.3432, 0.1568, 0.0000)  7 O 2.74-2.83
Ag (0.6568, 0.8432, 0.0000)  7 O 2.74-2.83
Ag (0.8432, 0.3432, 0.0000)  7 O 2.74-2.83
O (0.0000, 0.5000, 0.0000)  2 Ta 1.94
O (0.0016, 0.6596, 0.5000)  2 Ta 1.93-1.99
O (0.0569, 0.8704, 0.5000)  2 Ta 1.98-1.99
O (0.0783, 0.1855, 0.0000)  2 Ta 1.96
O (0.1296, 0.0569, 0.5000)  2 Ta 1.98-1.99
O (0.1596, 0.5016, 0.5000)  2 Ta 1.93-1.99
O (0.1855, 0.9217, 0.0000)  2 Ta 1.96
O (0.2259, 0.2741, 0.5000)  2 Ta 1.97
O (0.2741, 0.7741, 0.5000)  2 Ta 1.97
O (0.3145, 0.4217, 0.0000)  2 Ta 1.96
O (0.3404, 0.0016, 0.5000)  2 Ta 1.93-1.99
O (0.3704, 0.5569, 0.5000)  2 Ta 1.98-1.99
O (0.4217, 0.6855, 0.0000)  2 Ta 1.96
O (0.4431, 0.3704, 0.5000)  2 Ta 1.98-1.99
O (0.4984, 0.1596, 0.5000)  2 Ta 1.93-1.99
O (0.5000, 0.0000, 0.0000)  2 Ta 1.94
O (0.5016, 0.8404, 0.5000)  2 Ta 1.93-1.99
O (0.5569, 0.6296, 0.5000)  2 Ta 1.98-1.99
O (0.5783, 0.3145, 0.0000)  2 Ta 1.96
O (0.6296, 0.4431, 0.5000)  2 Ta 1.98-1.99
O (0.6596, 0.9984, 0.5000)  2 Ta 1.93-1.99
O (0.6855, 0.5783, 0.0000)  2 Ta 1.96
O (0.7259, 0.2259, 0.5000)  2 Ta 1.97
O (0.7741, 0.7259, 0.5000)  2 Ta 1.97
O (0.8145, 0.0783, 0.0000)  2 Ta 1.96
O (0.8404, 0.4984, 0.5000)  2 Ta 1.93-1.99
O (0.8704, 0.9431, 0.5000)  2 Ta 1.98-1.99
O (0.9217, 0.8145, 0.0000)  2 Ta 1.96
O (0.9431, 0.1296, 0.5000)  2 Ta 1.98-1.99
O (0.9984, 0.3404, 0.5000)  2 Ta 1.93-1.99

Size of the total moment: 0.00 μB/cell
Space group: P4/mbm (127)
Formation energy (no corrections): -63.1 eV per formula unit
Electronic total energy: -26.20 eV per atom

(4)
# Er2AgOs

A crystal of Er2AgOs relaxed with PBEsol (meta-GGA SCAN, the Alexandria database).

Unit cell a=4.8209 b=4.8209 c=4.8209 alpha=60.00 beta=60.00 gamma=60.00
Closest atoms and distances in Å follow each position.
Sites, in units of the cell vectors:
Er (0.2500, 0.2500, 0.2500)  4 Os 2.95, 4 Ag 2.95
Er (0.7500, 0.7500, 0.7500)  4 Os 2.95, 4 Ag 2.95
Ag (0.0000, 0.0000, 0.0000)  8 Er 2.95
Os (0.5000, 0.5000, 0.5000)  8 Er 2.95

Size of the total moment: 0.00 μB/cell
Space group: Fm-3m (225)
Electronic total energy: -51.43 eV per atom

(5)
# ErSiAg

A crystal of ErSiAg relaxed with PBEsol (meta-GGA SCAN, the Alexandria database).

Unit cell a=6.8823 b=6.8823 c=4.1214 alpha=90.00 beta=90.00 gamma=120.00
Closest atoms and distances in Å follow each position.
Sites, in units of the cell vectors:
Er (0.0000, 0.4200, 0.0000)  5 Si 2.89-2.91, 2 Ag 3.07
Er (0.4200, 0.0000, 0.0000)  5 Si 2.89-2.91, 2 Ag 3.07
Er (0.5800, 0.5800, 0.0000)  5 Si 2.89-2.91, 2 Ag 3.07
Si (0.0000, 0.0000, 0.0000)  6 Ag 2.68, 3 Er 2.89
Si (0.3333, 0.6667, 0.5000)  3 Ag 2.63, 6 Er 2.91
Si (0.6667, 0.3333, 0.5000)  3 Ag 2.63, 6 Er 2.91
Ag (0.0000, 0.7504, 0.5000)  4 Si 2.63-2.68
Ag (0.2496, 0.2496, 0.5000)  4 Si 2.63-2.68
Ag (0.7504, 0.0000, 0.5000)  4 Si 2.63-2.68

Size of the total moment: 0.00 μB/cell
Space group: P-62m (189)
Formation energy (no corrections): -1.9 eV per formula unit
Electronic total energy: -31.21 eV per atom

(6)
# ErAgSn2

A crystal of ErAgSn2 relaxed with PBEsol (meta-GGA SCAN, the Alexandria database).

Unit cell a=4.5456 b=4.5456 c=4.2737 alpha=90.00 beta=90.00 gamma=90.00
Closest atoms and distances in Å follow each position.
Sites, in units of the cell vectors:
Er (0.0000, 0.0000, 0.0000)  8 Sn 3.12, 4 Ag 3.21
Ag (0.5000, 0.5000, 0.0000)  8 Sn 3.12, 4 Er 3.21
Sn (0.0000, 0.5000, 0.5000)  4 Er 3.12, 4 Ag 3.12, 4 Sn 3.21
Sn (0.5000, 0.0000, 0.5000)  4 Er 3.12, 4 Ag 3.12, 4 Sn 3.21

Size of the total moment: 0.00 μB/cell
Space group: P4/mmm (123)
Electronic total energy: -38.83 eV per atom